i) ! ReAgOs3 | Alexandria via LeMat-Bulk | PBE | relaxed; values from VASP
&SYSTEM
  ibrav = 0, nat = 5, ntyp = 3
/
ATOMIC_SPECIES
Re 186.21 Re.upf
Ag 107.87 Ag.upf
Os 190.23 Os.upf
ATOMIC_POSITIONS crystal
Re 0.000 0.000 0.000
Ag 0.500 0.500 0.500
Os 0.500 0.000 0.000
Os 0.000 0.000 0.500
Os 0.000 0.500 0.000
CELL_PARAMETERS angstrom
4.720 0.000 0.000
0.000 4.720 0.000
0.000 0.000 4.720
! Space-group type: No. 221

=====

ii) ! ReAgOs3 | Alexandria via LeMat-Bulk | PBE | relaxed; values from VASP
&SYSTEM
  ibrav = 0, nat = 5, ntyp = 3
/
ATOMIC_SPECIES
Re 186.21 Re.upf
Os 190.23 Os.upf
Ag 107.87 Ag.upf
ATOMIC_POSITIONS crystal
Re 0.500 0.500 0.500
Os 0.500 0.000 0.000
Ag 0.000 0.000 0.000
Os 0.000 0.500 0.000
Os 0.000 0.000 0.500
CELL_PARAMETERS angstrom
-4.412 0.929 1.004
-1.366 -3.166 -3.073
0.070 -3.232 3.299
! Space-group type: No. 221

=====

It comes down to i), which is 1239 meV per atom more stable than the next structure.

=====

i) ! Re2AgOs | Alexandria via LeMat-Bulk | PBE | relaxed; values from VASP
&SYSTEM
  ibrav = 0, nat = 4, ntyp = 3
/
ATOMIC_SPECIES
Re 186.21 Re.upf
Ag 107.87 Ag.upf
Os 190.23 Os.upf
ATOMIC_POSITIONS crystal
Re 0.466 0.466 0.000
Ag 0.750 0.250 0.500
Os 0.250 0.750 0.500
Re 0.034 0.034 0.000
CELL_PARAMETERS angstrom
5.729 0.004 -0.001
3.184 4.763 0.001
-3.857 -3.505 2.380
! Space-group type: No. 71

=====

ii) ! Re2AgOs | Alexandria via LeMat-Bulk | PBE | relaxed; values from VASP
&SYSTEM
  ibrav = 0, nat = 4, ntyp = 3
/
ATOMIC_SPECIES
Ag 107.87 Ag.upf
Re 186.21 Re.upf
Os 190.23 Os.upf
ATOMIC_POSITIONS crystal
Ag 0.500 0.500 0.250
Re 0.000 0.000 0.985
Os 0.500 0.500 0.750
Re 0.000 0.000 0.515
CELL_PARAMETERS angstrom
-1.593 2.179 0.056
0.023 -1.410 -2.302
-7.279 -5.405 3.240
! Space-group type: No. 65

=====

iii) ! Re2AgOs | Alexandria via LeMat-Bulk | PBE | relaxed; values from VASP
&SYSTEM
  ibrav = 0, nat = 4, ntyp = 3
/
ATOMIC_SPECIES
Re 186.21 Re.upf
Ag 107.87 Ag.upf
Os 190.23 Os.upf
ATOMIC_POSITIONS crystal
Re 0.250 0.750 0.500
Ag 0.500 0.500 0.000
Os 0.750 0.250 0.500
Re 0.000 0.000 0.000
CELL_PARAMETERS angstrom
-2.193 -0.824 -4.184
-2.066 -4.325 0.166
-0.209 3.730 3.007
! Space-group type: No. 119

=====

iv) ! Re2AgOs | Alexandria via LeMat-Bulk | PBE | relaxed; values from VASP
&SYSTEM
  ibrav = 0, nat = 4, ntyp = 3
/
ATOMIC_SPECIES
Re 186.21 Re.upf
Ag 107.87 Ag.upf
Os 190.23 Os.upf
ATOMIC_POSITIONS crystal
Re 0.500 0.500 0.000
Ag 0.250 0.750 0.500
Os 0.750 0.250 0.500
Re 0.000 0.000 0.000
CELL_PARAMETERS angstrom
4.909 -0.010 0.000
1.886 4.532 0.000
-3.397 -2.261 2.728
! Space-group type: No. 139

=====

It comes down to ii), which is 35 meV per atom more stable than the next structure.

=====

i) ! Re2AgOs | Alexandria via LeMat-Bulk | PBE | relaxed; values from VASP
&SYSTEM
  ibrav = 0, nat = 4, ntyp = 3
/
ATOMIC_SPECIES
Re 186.21 Re.upf
Ag 107.87 Ag.upf
Os 190.23 Os.upf
ATOMIC_POSITIONS crystal
Re 0.494 0.494 0.494
Ag 0.250 0.250 0.250
Re 0.006 0.006 0.006
Os 0.750 0.750 0.750
CELL_PARAMETERS angstrom
9.437 -0.015 -0.009
9.034 2.728 -0.009
9.034 1.327 2.384
! Space-group type: No. 166

=====

ii) ! Re2AgOs | Alexandria via LeMat-Bulk | PBE | relaxed; values from VASP
&SYSTEM
  ibrav = 0, nat = 4, ntyp = 3
/
ATOMIC_SPECIES
Ag 107.87 Ag.upf
Re 186.21 Re.upf
Os 190.23 Os.upf
ATOMIC_POSITIONS crystal
Ag 0.000 0.000 0.500
Re 0.500 0.500 0.235
Os 0.500 0.500 0.765
Re 0.000 0.000 0.000
CELL_PARAMETERS angstrom
-1.545 -0.875 -2.041
-1.029 -0.289 2.485
-4.035 8.661 -0.661
! Space-group type: No. 35

=====

It comes down to i), which is 192 meV per atom more stable than the next structure.

=====

i) ! Re2AgOs | Alexandria via LeMat-Bulk | PBE | relaxed; values from VASP
&SYSTEM
  ibrav = 0, nat = 4, ntyp = 3
/
ATOMIC_SPECIES
Os 190.23 Os.upf
Re 186.21 Re.upf
Ag 107.87 Ag.upf
ATOMIC_POSITIONS crystal
Os 0.500 0.500 0.500
Re 0.250 0.250 0.250
Ag 0.000 0.000 0.000
Re 0.750 0.750 0.750
CELL_PARAMETERS angstrom
-4.208 -0.492 1.319
-3.121 -1.169 -2.930
-1.810 -4.048 0.182
! Space-group type: No. 225

=====

ii) ! Re2AgOs | Alexandria via LeMat-Bulk | PBE | relaxed; values from VASP
&SYSTEM
  ibrav = 0, nat = 4, ntyp = 3
/
ATOMIC_SPECIES
Ag 107.87 Ag.upf
Re 186.21 Re.upf
Os 190.23 Os.upf
ATOMIC_POSITIONS crystal
Ag 0.000 0.000 0.502
Re 0.000 0.000 0.990
Os 0.500 0.500 0.771
Re 0.500 0.500 0.236
CELL_PARAMETERS angstrom
-2.587 0.973 -0.111
-0.883 -2.453 -0.925
-1.241 -2.432 7.631
! Space-group type: No. 99

=====

iii) ! Re2AgOs | Alexandria via LeMat-Bulk | PBE | relaxed; values from VASP
&SYSTEM
  ibrav = 0, nat = 4, ntyp = 3
/
ATOMIC_SPECIES
Ag 107.87 Ag.upf
Os 190.23 Os.upf
Re 186.21 Re.upf
ATOMIC_POSITIONS crystal
Ag 0.492 0.492 0.000
Os 0.222 0.722 0.500
Re 0.780 0.280 0.500
Re 0.006 0.006 0.000
CELL_PARAMETERS angstrom
5.643 0.010 -0.001
3.006 4.776 0.001
-3.689 -3.542 2.386
! Space-group type: No. 44

=====

It comes down to ii), which is 193 meV per atom more stable than the next structure.

=====

i) ! Re2AgOs | Alexandria via LeMat-Bulk | PBE | relaxed; values from VASP
&SYSTEM
  ibrav = 0, nat = 4, ntyp = 3
/
ATOMIC_SPECIES
Re 186.21 Re.upf
Os 190.23 Os.upf
Ag 107.87 Ag.upf
ATOMIC_POSITIONS crystal
Re 0.738 0.738 0.771
Os 0.265 0.265 0.227
Ag 0.501 0.501 0.500
Re 0.997 0.997 0.003
CELL_PARAMETERS angstrom
4.883 0.000 -0.001
4.103 2.648 -0.001
0.849 0.250 4.764
! Space-group type: No. 8

=====

ii) ! Re2AgOs | Alexandria via LeMat-Bulk | PBE | relaxed; values from VASP
&SYSTEM
  ibrav = 0, nat = 4, ntyp = 3
/
ATOMIC_SPECIES
Re 186.21 Re.upf
Ag 107.87 Ag.upf
Os 190.23 Os.upf
ATOMIC_POSITIONS crystal
Re 0.000 0.125 0.965
Ag 0.000 0.625 0.465
Re 0.500 0.125 0.276
Os 0.500 0.625 0.794
CELL_PARAMETERS angstrom
-2.378 -1.553 3.439
0.386 -2.584 -0.900
4.097 -0.324 2.687
! Space-group type: No. 25

=====

It comes down to ii), which is 39 meV per atom more stable than the next structure.

=====

i) ! Re2AgOs | Alexandria via LeMat-Bulk | PBE | relaxed; values from VASP
&SYSTEM
  ibrav = 0, nat = 4, ntyp = 3
/
ATOMIC_SPECIES
Re 186.21 Re.upf
Os 190.23 Os.upf
Ag 107.87 Ag.upf
ATOMIC_POSITIONS crystal
Re 0.000 0.000 0.983
Os 0.500 0.500 0.750
Re 0.000 0.000 0.517
Ag 0.500 0.500 0.250
CELL_PARAMETERS angstrom
-2.155 1.387 -0.989
-1.058 0.160 2.530
3.963 7.023 1.215
! Space-group type: No. 123

=====

ii) ! Re2AgOs | Alexandria via LeMat-Bulk | PBE | relaxed; values from VASP
&SYSTEM
  ibrav = 0, nat = 4, ntyp = 3
/
ATOMIC_SPECIES
Re 186.21 Re.upf
Ag 107.87 Ag.upf
Os 190.23 Os.upf
ATOMIC_POSITIONS crystal
Re 0.513 0.513 0.482
Ag 0.750 0.750 0.750
Os 0.250 0.250 0.250
Re 0.987 0.987 0.018
CELL_PARAMETERS angstrom
-2.096 -4.015 -1.872
-2.361 -4.204 0.876
-4.557 1.487 -0.338
! Space-group type: No. 12

=====

iii) ! Re2AgOs | Alexandria via LeMat-Bulk | PBE | relaxed; values from VASP
&SYSTEM
  ibrav = 0, nat = 8, ntyp = 3
/
ATOMIC_SPECIES
Re 186.21 Re.upf
Ag 107.87 Ag.upf
Os 190.23 Os.upf
ATOMIC_POSITIONS crystal
Re 0.875 0.929 0.750
Re 0.679 0.125 0.250
Ag 0.250 0.750 0.500
Os 0.750 0.250 0.500
Re 0.071 0.625 0.250
Os 0.000 0.000 0.000
Ag 0.500 0.500 0.000
Re 0.375 0.321 0.750
CELL_PARAMETERS angstrom
7.363 0.000 0.000
0.000 7.363 0.000
3.682 3.682 2.634
! Space-group type: No. 122

=====

iv) ! Re2AgOs | Alexandria via LeMat-Bulk | PBE | relaxed; values from VASP
&SYSTEM
  ibrav = 0, nat = 4, ntyp = 3
/
ATOMIC_SPECIES
Re 186.21 Re.upf
Ag 107.87 Ag.upf
Os 190.23 Os.upf
ATOMIC_POSITIONS crystal
Re 0.001 0.001 0.001
Ag 0.500 0.500 0.500
Re 0.255 0.255 0.255
Os 0.744 0.744 0.744
CELL_PARAMETERS angstrom
-0.181 -2.433 -9.195
2.399 -3.233 -8.619
0.282 -4.937 -8.127
! Space-group type: No. 160

=====

It comes down to iv), which is 129 meV per atom more stable than the next structure.

=====

i) ! AgOsRh2 | Alexandria via LeMat-Bulk | PBE | relaxed; values from VASP
&SYSTEM
  ibrav = 0, nat = 4, ntyp = 3
/
ATOMIC_SPECIES
Rh 102.91 Rh.upf
Ag 107.87 Ag.upf
Os 190.23 Os.upf
ATOMIC_POSITIONS crystal
Rh 0.250 0.750 0.500
Ag 0.500 0.500 0.000
Os 0.000 0.000 0.000
Rh 0.750 0.250 0.500
CELL_PARAMETERS angstrom
4.714 0.659 -0.128
2.000 -2.423 3.579
-3.093 -1.327 -3.369
! Space-group type: No. 139

=====

ii) ! AgOsRh2 | Alexandria via LeMat-Bulk | PBE | relaxed; values from VASP
&SYSTEM
  ibrav = 0, nat = 4, ntyp = 3
/
ATOMIC_SPECIES
Os 190.23 Os.upf
Rh 102.91 Rh.upf
Ag 107.87 Ag.upf
ATOMIC_POSITIONS crystal
Os 0.259 0.259 0.221
Rh 0.743 0.743 0.749
Ag 0.500 0.500 0.510
Rh 0.998 0.998 0.020
CELL_PARAMETERS angstrom
0.926 -4.644 -0.779
2.588 -3.842 1.253
-2.989 -1.963 3.220
! Space-group type: No. 8

=====

It comes down to ii), which is 75 meV per atom more stable than the next structure.

=====

i) ! AgOsRh2 | Alexandria via LeMat-Bulk | PBE | relaxed; values from VASP
&SYSTEM
  ibrav = 0, nat = 4, ntyp = 3
/
ATOMIC_SPECIES
Rh 102.91 Rh.upf
Os 190.23 Os.upf
Ag 107.87 Ag.upf
ATOMIC_POSITIONS crystal
Rh 0.000 0.500 0.000
Os 0.500 0.500 0.500
Ag 0.000 0.000 0.500
Rh 0.500 0.000 0.000
CELL_PARAMETERS angstrom
2.806 -3.860 0.000
2.806 3.860 0.000
0.000 0.000 2.749
! Space-group type: No. 65

=====

ii) ! AgOsRh2 | Alexandria via LeMat-Bulk | PBE | relaxed; values from VASP
&SYSTEM
  ibrav = 0, nat = 4, ntyp = 3
/
ATOMIC_SPECIES
Rh 102.91 Rh.upf
Ag 107.87 Ag.upf
Os 190.23 Os.upf
ATOMIC_POSITIONS crystal
Rh 0.250 0.250 0.250
Rh 0.750 0.750 0.750
Ag 0.000 0.000 0.000
Os 0.500 0.500 0.500
CELL_PARAMETERS angstrom
0.000 3.130 3.130
3.130 0.000 3.130
3.130 3.130 0.000
! Space-group type: No. 225

=====

It comes down to i), which is 195 meV per atom more stable than the next structure.